Record 1
## MgAgBr2 (PBE-GGA)

Data for MgAgBr2 after structural relaxation.

Cell and atoms, written as extended XYZ:
```
4
Lattice="3.6789 -0.0122 -0.0154 1.8542 3.1775 -0.0154 1.5554 0.8898 10.9053" Properties=species:S:1:pos:R:3 pbc="T T T"
Ag 1.7721 1.0138 2.7186
Br 1.6326 0.9339 9.7566
Br 3.4671 1.9834 6.5859
Mg 5.3164 3.0413 8.1559
```

Output
SG: C2/m, No. 12
Uncorrected formation energy (eV per formula unit): -2.88
Total energy (eV per atom): -2.67
Distance to the lowest polymorph of the same formula (kJ/mol of atoms): 0.7

Record 2
## MgAgBr2 (PBE-GGA)

Data for MgAgBr2 after structural relaxation.

Cell and atoms, written as extended XYZ:
```
4
Lattice="9.0857 0.0664 0.0397 8.2099 3.8927 0.0397 8.2099 1.8793 3.4092" Properties=species:S:1:pos:R:3 pbc="T T T"
Ag 19.2601 4.4087 2.6343
Br 0.7930 0.1815 0.1085
Br 5.5649 1.2738 0.7611
Mg 12.6402 2.8934 1.7289
```

Output
SG: R3m, No. 160
Uncorrected formation energy (eV per formula unit): -2.21
Total energy (eV per atom): -2.50
Distance to the lowest polymorph of the same formula (kJ/mol of atoms): 17.0

Record 3
## Mg2Ag2Br (PBE-GGA)

Data for Mg2Ag2Br after structural relaxation.

Cell and atoms, written as extended XYZ:
```
5
Lattice="4.4546 0.0000 0.0000 0.0000 4.4546 0.0000 2.2273 2.2273 6.0885" Properties=species:S:1:pos:R:3 pbc="T T T"
Mg 4.4546 2.2273 3.0442
Mg 2.2273 4.4546 3.0442
Br 0.0000 0.0000 0.0000
Ag 2.2273 2.2273 1.4037
Ag 4.4546 4.4546 4.6848
```

Output
SG: I4/mmm, No. 139
Uncorrected formation energy (eV per formula unit): -0.20
Total energy (eV per atom): -2.15
Distance to the lowest polymorph of the same formula (kJ/mol of atoms): 14.1

Record 4
## MgAgBr2 (PBE-GGA)

Data for MgAgBr2 after structural relaxation.

Cell and atoms, written as extended XYZ:
```
4
Lattice="0.8460 -3.6048 3.5081 -3.8141 -1.5978 2.9861 -1.9430 -4.6743 -0.6265" Properties=species:S:1:pos:R:3 pbc="T T T"
Mg 0.0000 0.0000 0.0000
Br -1.2277 -2.4692 1.4669
Br -3.6832 -7.4077 4.4008
Ag -2.4555 -4.9385 2.9338
```

Output
SG: Fm-3m, No. 225
Uncorrected formation energy (eV per formula unit): -1.28
Total energy (eV per atom): -2.27
Distance to the lowest polymorph of the same formula (kJ/mol of atoms): 39.4

Record 5
## MgAgBr2 (PBE-GGA)

Data for MgAgBr2 after structural relaxation.

Cell and atoms, written as extended XYZ:
```
4
Lattice="5.1806 0.0000 0.0000 2.5903 4.4865 0.0000 2.5903 1.4955 4.2299" Properties=species:S:1:pos:R:3 pbc="T T T"
Ag 5.1806 2.9910 2.1150
Br 0.0000 0.0000 0.0000
Br 7.7708 4.4865 3.1724
Mg 2.5903 1.4955 1.0575
```

Output
SG: F-43m, No. 216
Uncorrected formation energy (eV per formula unit): -0.24
Total energy (eV per atom): -2.01
Distance to the lowest polymorph of the same formula (kJ/mol of atoms): 64.3

Record 6
## MgAgBr2 (PBE-GGA)

Data for MgAgBr2 after structural relaxation.

Cell and atoms, written as extended XYZ:
```
4
Lattice="-1.2327 -2.9379 -1.8808 3.6265 0.3290 -0.6547 1.6596 -4.9795 6.6907" Properties=species:S:1:pos:R:3 pbc="T T T"
Ag 2.4174 -4.9664 3.6527
Br 1.5195 -4.5591 6.1259
Br 1.7501 -2.9642 0.9624
Mg 0.8558 -2.5679 3.4503
```

Output
SG: Cmm2, No. 35
Uncorrected formation energy (eV per formula unit): -1.86
Total energy (eV per atom): -2.41
Distance to the lowest polymorph of the same formula (kJ/mol of atoms): 25.2

Record 7
## MgAgBr2 (PBE-GGA)

Data for MgAgBr2 after structural relaxation.

Cell and atoms, written as extended XYZ:
```
4
Lattice="3.5256 0.0000 0.0000 0.0000 7.0930 0.9480 0.0000 3.9118 6.4057" Properties=species:S:1:pos:R:3 pbc="T T T"
Ag 1.7628 8.2536 5.5153
Br 0.0000 1.2849 0.7193
Br 0.0000 4.2175 2.9576
Mg 1.7628 2.7512 1.8384
```

Output
SG: P2/m, No. 10
Uncorrected formation energy (eV per formula unit): -2.07
Total energy (eV per atom): -2.47
Distance to the lowest polymorph of the same formula (kJ/mol of atoms): 20.2

Record 8
## MgAgBr2 (PBE-GGA)

Data for MgAgBr2 after structural relaxation.

Cell and atoms, written as extended XYZ:
```
4
Lattice="0.3799 5.8990 1.7299 -5.2779 2.1841 -2.3042 2.6285 -3.6545 4.2037" Properties=species:S:1:pos:R:3 pbc="T T T"
Ag -2.6009 1.3709 0.8001
Br -0.2278 0.3760 -0.0267
Br 0.5673 2.6684 2.8569
Mg -2.4571 4.0548 -0.2881
```

Output
SG: Imm2, No. 44
Uncorrected formation energy (eV per formula unit): -1.86
Total energy (eV per atom): -2.41
Distance to the lowest polymorph of the same formula (kJ/mol of atoms): 25.4

Record 9
## MgAg3Br4 (PBE-GGA)

Data for MgAg3Br4 after structural relaxation.

Cell and atoms, written as extended XYZ:
```
8
Lattice="6.3928 0.0000 0.0000 0.0000 6.3928 0.0000 -3.1964 -3.1964 6.2799" Properties=species:S:1:pos:R:3 pbc="T T T"
Mg 0.0000 0.0000 0.0000
Ag 3.1964 3.1964 0.0000
Ag 3.1964 0.0000 3.1399
Ag 0.0000 3.1964 3.1399
Br 1.4928 1.4928 1.4823
Br 4.9000 4.9000 1.4823
Br -1.7036 1.7036 4.7976
Br 1.7036 -1.7036 4.7976
```

Output
SG: I-42m, No. 121
Uncorrected formation energy (eV per formula unit): -3.62
Total energy (eV per atom): -2.56

Record 10
## MgAgBr2 (PBE-GGA)

Data for MgAgBr2 after structural relaxation.

Cell and atoms, written as extended XYZ:
```
4
Lattice="-0.8410 3.2251 -1.4920 -2.8864 1.2570 4.3442 4.0212 3.1294 4.4979" Properties=species:S:1:pos:R:3 pbc="T T T"
Ag 0.1511 4.7499 5.7134
Br 3.5908 2.7959 4.0194
Br 0.0358 3.0757 2.1594
Mg 1.1045 2.3128 4.3766
```

Output
SG: Pm, No. 6
Uncorrected formation energy (eV per formula unit): -2.46
Total energy (eV per atom): -2.56
Distance to the lowest polymorph of the same formula (kJ/mol of atoms): 10.8

Record 11
## MgAg2Br (PBE-GGA)

Data for MgAg2Br after structural relaxation.

Cell and atoms, written as extended XYZ:
```
4
Lattice="-0.4789 -2.1006 4.0921 3.1941 1.0446 0.9100 -3.9669 4.3521 1.7699" Properties=species:S:1:pos:R:3 pbc="T T T"
Ag -3.2994 4.2389 1.7899
Ag -1.0539 2.8116 1.3200
Br -0.4326 0.2989 2.7160
Mg -0.8190 2.9973 4.0560
```

Output
SG: P2/m, No. 10
Uncorrected formation energy (eV per formula unit): -0.39
Total energy (eV per atom): -2.34
Distance to the lowest polymorph of the same formula (kJ/mol of atoms): 17.2

Record 12
## MgAg2Br (PBE-GGA)

Data for MgAg2Br after structural relaxation.

Cell and atoms, written as extended XYZ:
```
4
Lattice="-2.3019 -4.7293 -3.5913 2.9376 -3.1820 -4.6698 0.6124 2.0964 5.9827" Properties=species:S:1:pos:R:3 pbc="T T T"
Ag 0.0000 0.0000 0.0000
Ag 0.3179 -3.9557 -4.1306
Br 1.9340 -2.5206 -1.4089
Mg -0.6858 -3.2943 -0.8696
```

Output
SG: I4/mmm, No. 139
Uncorrected formation energy (eV per formula unit): -0.37
Total energy (eV per atom): -2.33
Distance to the lowest polymorph of the same formula (kJ/mol of atoms): 17.6